{"formula": "DyBiPb", "functional": "PBE-GGA", "state": "relaxed", "cell": [[5.587, 0.000, 0.000], [-2.794, 4.839, 0.000], [0.000, 0.000, 3.370]], "species": ["Dy", "Bi", "Pb"], "frac_coords": [[0.000, 0.000, 0.000], [0.667, 0.333, 0.513], [0.333, 0.667, 0.481]], "formation_enthalpy_0k_ev_per_atom": -0.21, "e_tot_ev_per_atom": -4.28}